No. 1
Here is a relaxed BeZn2Ag crystal from the Alexandria database. Energies are from PBE-GGA.

Values from the calculation:
- Calculated formation energy: 0.1462 eV/atom

Cell: 2.712 4.120 5.134 Å, 90.00 103.74 90.00°
Space group P2/m (No. 10)
Inequivalent atoms, fractional coordinates:
Be1 0.000 0.000 0.000
Zn1 0.160 0.500 0.773
Ag1 0.500 0.000 0.500



No. 2
Here is a relaxed SrB2AsOs crystal from the Alexandria database. Energies are from PBE-GGA.

Values from the calculation:
- Calculated formation energy: 1.3938 eV/atom

Cell: 4.404 4.404 4.703 Å, 90.00 90.00 90.00°
Space group P4/mmm (No. 123)
Inequivalent atoms, fractional coordinates:
Sr1 0.000 0.000 0.000
B1 0.000 0.500 0.500
As1 0.500 0.500 0.500
Os1 0.500 0.500 0.000



No. 3
Here is a relaxed ScI2N2 crystal from the Alexandria database. Energies are from PBE-GGA.

Values from the calculation:
- Raw formation energy: 108.1 kJ per mole of atoms

Cell: 7.561 7.561 3.900 Å, 90.00 90.00 90.00°
Space group P4/mbm (No. 127)
Inequivalent atoms, fractional coordinates:
Sc1 0.000 0.000 0.000
I1 0.165 0.335 0.000
N1 0.244 0.744 0.500



No. 4
Here is a relaxed SiTcPt2 crystal from the Alexandria database. Energies are from PBE-GGA.

Values from the calculation:
- Raw formation energy: -24.2 kJ per mole of atoms

Cell: 2.8269 2.8269 25.4293 Å, 90.00 90.00 120.00°
Space group R3m (No. 160, hexagonal axes)
Inequivalent atoms, fractional coordinates:
Si1 0.0000 0.0000 0.0000
Tc1 0.0000 0.0000 0.2582
Pt1 0.0000 0.0000 0.5043
Pt2 0.0000 0.0000 0.7416



No. 5
Here is a relaxed BTeHRhAu crystal from the Alexandria database. Energies are from PBE-GGA.

Cell: 3.899 4.250 5.415 Å, 92.71 97.99 108.42°
Space group P1 (No. 1)
Inequivalent atoms, fractional coordinates:
B1 0.000 0.000 0.000
Te1 0.761 0.575 0.631
H1 0.266 0.271 0.943
Rh1 0.484 0.999 0.853
Au1 0.276 0.846 0.310



No. 6
Here is a relaxed CaTbPr14 crystal from the Alexandria database. Energies are from PBE-GGA.

Values from the calculation:
- Calculated formation energy: 0.0196 eV/atom

Cell: 7.434 7.434 10.463 Å, 90.00 90.00 90.00°
Space group P4/mmm (No. 123)
Inequivalent atoms, fractional coordinates:
Ca1 0.000 0.000 0.000
Tb1 0.500 0.500 0.000
Pr1 0.000 0.000 0.500
Pr2 0.000 0.500 0.000
Pr3 0.000 0.500 0.500
Pr4 0.254 0.254 0.251
Pr5 0.500 0.500 0.500



No. 7
Here is a relaxed LaNbAl2Sn crystal from the Alexandria database. Energies are from PBE-GGA.

Values from the calculation:
- Calculated formation energy: 0.4253 eV/atom

Cell: 5.123 5.123 5.324 Å, 90.00 90.00 90.00°
Space group P4/mmm (No. 123)
Inequivalent atoms, fractional coordinates:
La1 0.000 0.000 0.000
Nb1 0.000 0.000 0.500
Al1 0.000 0.500 0.500
Sn1 0.500 0.500 0.000



No. 8
Here is a relaxed Pm2SmBi crystal from the Alexandria database. Energies are from PBE-GGA.

Values from the calculation:
- Calculated formation energy: -0.4400 eV/atom

Cell: 4.695 23.666 4.676 Å, 90.00 90.00 90.00°
Space group Cmcm (No. 63)
Inequivalent atoms, fractional coordinates:
Pm1 0.000 0.059 0.250
Pm2 0.000 0.436 0.250
Sm1 0.000 0.306 0.750
Bi1 0.000 0.170 0.750



| no. | total energy (eV/atom) |
| --- | --- |
| 1 | -2.135 |
| 2 | -4.789 |
| 3 | -4.096 |
| 4 | -7.218 |
| 5 | -4.596 |
| 6 | -4.577 |
| 7 | -4.872 |
| 8 | -4.965 |